Record 1
Entry from OQMD via LeMat-Bulk: crystalline NaPrRe at its relaxed geometry (PBE-GGA).

The space group is F-43m (No. 216) and the conventional cell measures 6.728, 6.728 and 6.728 Å, with angles of 90.00, 90.00 and 90.00 degrees. The asymmetric unit holds Na at (0.000, 0.000, 0.000), Pr at (0.250, 0.250, 0.750) and Re at (0.250, 0.250, 0.250).

Its energy relative to the lowest polymorph listed for this composition is 0.000 eV/f.u. As for the theoretical density: 7.6 g/cm³.


Record 2
Entry from OQMD via LeMat-Bulk: crystalline UCdPt at its relaxed geometry (PBE-GGA).

The space group is F-43m (No. 216) and the conventional cell measures 6.588, 6.588 and 6.588 Å, with angles of 90.00, 90.00 and 90.00 degrees. The asymmetric unit holds U at (0.000, 0.000, 0.000), Cd at (0.000, 0.000, 0.500) and Pt at (0.250, 0.250, 0.750).

The calculation puts the formation energy at -0.16 eV/atom. As for the theoretical density: 12.7 g/cm³.


Record 3
Entry from OQMD via LeMat-Bulk: crystalline PPbW4N2 at its relaxed geometry (PBE-GGA).

The space group is P-6m2 (No. 187) and the conventional cell measures 3.0742, 3.0742 and 13.5234 Å, with angles of 90.00, 90.00 and 120.00 degrees. The asymmetric unit holds P at (0.0000, 0.0000, 0.0000), Pb at (0.3333, 0.6667, 0.5000), W at (0.0000, 0.0000, 0.3162), W at (0.3333, 0.6667, 0.1264) and N at (0.6667, 0.3333, 0.2283).

As for the theoretical density: 15.0 g/cm³. The calculation puts the total DFT energy (no corrections) at -9.30 eV/atom.


Record 4
Entry from OQMD via LeMat-Bulk: crystalline LiZrPd at its relaxed geometry (PBE-GGA).

The space group is F-43m (No. 216) and the conventional cell measures 6.240, 6.240 and 6.240 Å, with angles of 90.00, 90.00 and 90.00 degrees. The asymmetric unit holds Li at (0.000, 0.000, 0.000), Zr at (0.000, 0.000, 0.500) and Pd at (0.250, 0.250, 0.250).

Its energy relative to the lowest polymorph listed for this composition is 0.926 eV/f.u. As for the theoretical density: 5.6 g/cm³.


Record 5
Entry from OQMD via LeMat-Bulk: crystalline ScBeZnSi at its relaxed geometry (PBE-GGA).

The space group is F-43m (No. 216) and the conventional cell measures 6.201, 6.201 and 6.201 Å, with angles of 90.00, 90.00 and 90.00 degrees. The asymmetric unit holds Sc at (0.000, 0.000, 0.000), Be at (0.000, 0.000, 0.500), Zn at (0.250, 0.250, 0.250) and Si at (0.250, 0.250, 0.750).

Its energy relative to the lowest polymorph listed for this composition is 0.000 eV/f.u. As for the theoretical density: 4.1 g/cm³.


Record 6
Entry from OQMD via LeMat-Bulk: crystalline BaPd at its relaxed geometry (PBE-GGA).

The space group is R-3m (No. 166, hexagonal axes) and the conventional cell measures 4.4087, 4.4087 and 11.7524 Å, with angles of 90.00, 90.00 and 120.00 degrees. The asymmetric unit holds Ba at (0.0000, 0.0000, 0.0000) and Pd at (0.0000, 0.0000, 0.5000).

As for the theoretical density: 6.1 g/cm³. The calculation puts the total DFT energy (no corrections) at -3.96 eV/atom.


Record 7
Entry from OQMD via LeMat-Bulk: crystalline Cu6BP2 at its relaxed geometry (PBE-GGA).

The space group is P-62m (No. 189) and the conventional cell measures 5.9874, 5.9874 and 3.5053 Å, with angles of 90.00, 90.00 and 120.00 degrees. The asymmetric unit holds Cu at (0.0000, 0.2405, 0.0000), Cu at (0.0000, 0.6216, 0.5000), B at (0.0000, 0.0000, 0.5000) and P at (0.3333, 0.6667, 0.0000).

As for the theoretical density: 6.9 g/cm³. The calculation puts the total DFT energy (no corrections) at -4.27 eV/atom.


Record 8
Entry from OQMD via LeMat-Bulk: crystalline ZnAu9 at its relaxed geometry (PBE-GGA).

The space group is P4/nmm (No. 129, origin choice 2) and the conventional cell measures 2.920, 2.920 and 55.863 Å, with angles of 90.00, 90.00 and 90.00 degrees. The asymmetric unit holds Zn at (0.250, 0.250, 0.145), Au at (0.250, 0.250, 0.216), Au at (0.250, 0.250, 0.292), Au at (0.250, 0.250, 0.368), Au at (0.250, 0.250, 0.443), Au at (0.250, 0.250, 0.519), Au at (0.250, 0.250, 0.594), Au at (0.250, 0.250, 0.670), Au at (0.250, 0.250, 0.746) and Au at (0.250, 0.250, 0.823).

Its energy relative to the lowest polymorph listed for this composition is 0.155 eV/f.u. The calculation puts the formation energy at 0.03 eV/atom. As for the theoretical density: 12.8 g/cm³.